VASP calculation (PBE) on crystalline Y2Ho3Er2 at its relaxed geometry.

Results
The space group is C2/m, No. 12. The total magnetic moment comes out at 0.000 μB/atom. For the electronic total energy, the calculation gives -5.09 eV/atom. As for the mass density: 7.67 g cm⁻³. As for the formation enthalpy at 0 K: 0.02 eV per atom.

a b c (Å): 3.5270 11.7231 6.1177
angles (deg): 69.74 73.22 98.67
Atoms (fractional coordinates):
Y: 0.2862 0.7143 0.1422
Y: 0.7138 0.2857 0.8578
Ho: 0.5713 0.4277 0.2852
Ho: 0.4287 0.5723 0.7148
Ho: 0.0000 0.0000 0.0000
Er: 0.8552 0.1415 0.4313
Er: 0.1448 0.8585 0.5687

---

VASP calculation (PBE) on crystalline Er2Sb3Rh5 at its relaxed geometry.

Results
The space group is Cmc2_1, No. 36. The total magnetic moment comes out at 0.000 μB/atom. For the electronic total energy, the calculation gives -6.51 eV/atom. As for the mass density: 10.57 g cm⁻³. The value obtained for the energy relative to the elements, uncorrected is -66.6 kJ/mol of atoms.

a b c (Å): 4.3232 6.9578 12.8633
angles (deg): 90.00 99.67 90.00
Atoms (fractional coordinates):
Rh: 0.9493 0.1434 0.8986
Rh: 0.8812 0.8074 0.7624
Rh: 0.3926 0.4451 0.7852
Rh: 0.2992 0.8585 0.5984
Rh: 0.6074 0.9451 0.2148
Rh: 0.0507 0.6434 0.1014
Rh: 0.2760 0.4258 0.5521
Rh: 0.7008 0.3585 0.4016
Rh: 0.7240 0.9258 0.4479
Rh: 0.1188 0.3074 0.2376
Sb: 0.6100 0.5494 0.2199
Sb: 0.2095 0.1301 0.4189
Sb: 0.9484 0.5209 0.8968
Sb: 0.3900 0.0494 0.7801
Sb: 0.0516 0.0209 0.1032
Sb: 0.7905 0.6301 0.5811
Er: 0.8113 0.1802 0.6227
Er: 0.5131 0.3041 0.0261
Er: 0.1887 0.6802 0.3773
Er: 0.4869 0.8041 0.9739